## TaClF2 (GGA-PBE)

Data for a geometry-optimized TaClF2 structure.

Summary:
As for the distance to the lowest polymorph of the same formula: 0 meV per atom. The total energy comes out at -5.7913 eV/atom. The calculation puts the size of the total moment at 7.9 μB/cell. The calculation puts the uncorrected formation energy at -1.431 eV per atom.

Cell and atoms, written as CIF:
```
data_TaClF2
_chemical_formula_sum 'Ta4 Cl4 F8'
_symmetry_space_group_name_H-M 'I -4 2 d'
_symmetry_Int_Tables_number 122
_symmetry_space_group_name_Hall 'I -4 2bw'
_cell_length_a 4.465
_cell_length_b 4.465
_cell_length_c 13.720
_cell_angle_alpha 90.00
_cell_angle_beta 90.00
_cell_angle_gamma 90.00
loop_
_atom_site_label
_atom_site_type_symbol
_atom_site_fract_x
_atom_site_fract_y
_atom_site_fract_z
Ta1 Ta 0.000 0.000 0.000
Cl1 Cl 0.000 0.000 0.500
F1 F 0.011 0.250 0.125
```